(1)
Computed, not measured: a crystal of Tl2Se2I relaxed with PBEsol at the SCAN level of DFT.

- uncorrected formation energy (eV/atom) = -0.317

Lattice parameters (Å, degrees): 3.9602 3.9602 9.9157 101.52 101.52 90.00
Closest atoms and distances in Å follow each position.
Element x y z (fractional)
I1 0.0000 0.0000 0.0000  8 Tl 3.49
Tl1 0.3902 0.3902 0.7804  4 Se 3.32, 4 I 3.49
Tl2 0.6098 0.6098 0.2196  4 Se 3.32, 4 I 3.49
Se1 0.2500 0.7500 0.5000  4 Se 2.80
Se2 0.7500 0.2500 0.5000  4 Se 2.80



(2)
Computed, not measured: a crystal of TlSeI3 relaxed with PBEsol at the SCAN level of DFT.

- polymorph energy (0 for the lowest one) (kJ/mol of formula units) = 256.5
- uncorrected formation energy (eV/atom) = 0.359

Lattice parameters (Å, degrees): 5.9101 5.9101 5.9101 90.00 90.00 90.00
Closest atoms and distances in Å follow each position.
Element x y z (fractional)
I1 0.0000 0.5000 0.0000  2 Tl 2.96
I2 0.0000 0.0000 0.5000  2 Tl 2.96
I3 0.5000 0.0000 0.0000  2 Tl 2.96
Tl1 0.0000 0.0000 0.0000  6 I 2.96
Se1 0.5000 0.5000 0.5000  12 I 4.18



(3)
Computed, not measured: a crystal of Tl6SeI4 relaxed with PBEsol at the SCAN level of DFT.

- uncorrected formation energy (eV/atom) = -0.604

Lattice parameters (Å, degrees): 8.9958 8.9958 9.5730 90.00 90.00 90.00
Closest atoms and distances in Å follow each position.
Element x y z (fractional)
Tl1 0.6806 0.8904 0.5000  1 Se 3.04
Tl2 0.3194 0.1096 0.5000  1 Se 3.04
Tl3 0.6096 0.8194 0.0000  1 Se 3.04
Tl4 0.1096 0.6806 0.5000  1 Se 3.04
Tl5 0.8904 0.3194 0.5000  1 Se 3.04
Tl6 0.1806 0.6096 0.0000  1 Se 3.04
Tl7 0.8194 0.3904 0.0000  1 Se 3.04
Tl8 0.3904 0.1806 0.0000  1 Se 3.04
Tl9 0.0000 0.0000 0.8081  1 Se 2.95
Tl10 0.5000 0.5000 0.6919  1 Se 2.95
Tl11 0.0000 0.0000 0.1919  1 Se 2.95
Tl12 0.5000 0.5000 0.3081  1 Se 2.95
Se1 0.0000 0.0000 0.5000  6 Tl 2.95-3.04
Se2 0.5000 0.5000 0.0000  6 Tl 2.95-3.04
I1 0.1638 0.3362 0.7500  6 Tl 3.41-3.44
I2 0.6638 0.1638 0.7500  6 Tl 3.41-3.44
I3 0.3362 0.8362 0.7500  6 Tl 3.41-3.44
I4 0.8362 0.6638 0.7500  6 Tl 3.41-3.44
I5 0.8362 0.6638 0.2500  6 Tl 3.41-3.44
I6 0.3362 0.8362 0.2500  6 Tl 3.41-3.44
I7 0.6638 0.1638 0.2500  6 Tl 3.41-3.44
I8 0.1638 0.3362 0.2500  6 Tl 3.41-3.44